Ge3Te2I2 | GGA-PBE | relaxed

```
data_Ge3Te2I2
_cell_length_a 4.282
_cell_length_b 7.394
_cell_length_c 7.724
_cell_angle_alpha 99.69
_cell_angle_beta 89.96
_cell_angle_gamma 106.83
_space_group_name_H-M_alt 'P 1'
_space_group_IT_number 1
loop_
_space_group_symop_operation_xyz
'x,y,z'
loop_
_atom_site_label
_atom_site_fract_x
_atom_site_fract_y
_atom_site_fract_z
I1 0.122 0.244 0.358
I2 0.878 0.756 0.642
Ge1 0.743 0.487 0.209
Ge2 0.000 0.000 0.000
Ge3 0.257 0.513 0.791
Te1 0.375 0.750 0.119
Te2 0.625 0.250 0.881
```

For the uncorrected formation energy, the calculation gives -109.8 kJ/mol of formula units. The energy relative to the lowest polymorph listed for this composition is 0.0 kJ per mole of atoms. Its space group is No. 12.